Record 1
DFT (GGA-PBE) results for a relaxed Sm12Y6Ho crystal.

Space group   R-3m, No. 166
Calculated formation energy   0.34 eV per atom
Distance to the lowest polymorph of the same formula   18.8 kJ per mole of atoms
N(E_F)   1.728 states/eV per atom

The structure in POSCAR format:
```
Sm12Y6Ho
1.0
-9.708 1.780 0.270
3.093 -5.134 7.846
5.283 8.218 -1.427
Sm Y Ho
12 6 1
Direct
0.875 0.125 0.500 Sm
0.262 0.908 0.262 Sm
0.262 0.262 0.908 Sm
0.092 0.738 0.738 Sm
0.738 0.738 0.092 Sm
0.738 0.092 0.738 Sm
0.500 0.875 0.125 Sm
0.125 0.500 0.875 Sm
0.125 0.875 0.500 Sm
0.500 0.125 0.875 Sm
0.875 0.500 0.125 Sm
0.908 0.262 0.262 Sm
0.728 0.466 0.728 Y
0.728 0.728 0.466 Y
0.466 0.728 0.728 Y
0.272 0.272 0.534 Y
0.272 0.534 0.272 Y
0.534 0.272 0.272 Y
0.000 0.000 0.000 Ho
```

=====

Record 2
DFT (GGA-PBE) results for a relaxed Y2Er2Sb3 crystal.

Space group   C2/m, No. 12
Energy relative to the elements, uncorrected   -846 meV/atom
Distance to the lowest polymorph of the same formula   13.6 kJ per mole of atoms
N(E_F)   0.451 states/eV per atom

The structure in POSCAR format:
```
Y2Er2Sb3
1.0
4.343 -0.007 -0.001
-2.168 7.000 -0.064
-0.006 -1.122 7.267
Y Er Sb
2 2 3
Direct
0.624 0.248 0.865 Y
0.376 0.752 0.135 Y
0.881 0.761 0.617 Er
0.119 0.239 0.383 Er
0.000 0.000 0.000 Sb
0.742 0.486 0.254 Sb
0.258 0.514 0.746 Sb
```